Compound: LuSc2Co
Source: Alexandria via LeMat-Bulk
Functional: GGA-PBE
Structure: relaxed

Its space group is R-3m. The calculation puts the energy above the most stable polymorph in this dataset at 302 meV per atom. As for the formation energy: 0.70 eV/f.u. As for the density: 6.67 g/cm³.

a = 4.840 Å, b = 4.840 Å, c = 4.840 Å
α = 60.24°, β = 60.24°, γ = 60.24°
Element x y z (fractional)
Lu (0.000, 0.000, 0.000)
Sc (0.251, 0.251, 0.251)
Sc (0.749, 0.749, 0.749)
Co (0.500, 0.500, 0.500)


Compound: LuScCo2
Source: Alexandria via LeMat-Bulk
Functional: GGA-PBE
Structure: relaxed

Its space group is Fm-3m. The calculation puts the energy above the most stable polymorph in this dataset at 4 meV per atom. As for the formation energy: -1.18 eV/f.u. As for the density: 8.64 g/cm³.

a = 4.512 Å, b = 4.512 Å, c = 4.512 Å
α = 60.00°, β = 60.00°, γ = 60.00°
Element x y z (fractional)
Lu (0.000, 0.000, 0.000)
Sc (0.500, 0.500, 0.500)
Co (0.250, 0.250, 0.250)
Co (0.750, 0.750, 0.750)


Compound: Lu3ScCo
Source: Alexandria via LeMat-Bulk
Functional: GGA-PBE
Structure: relaxed

Its space group is Pm-3m. As for the formation energy: 0.05 eV/f.u. As for the density: 7.86 g/cm³.

a = 5.103 Å, b = 5.103 Å, c = 5.103 Å
α = 90.00°, β = 90.00°, γ = 90.00°
Element x y z (fractional)
Lu (0.000, 0.000, 0.500)
Lu (0.000, 0.500, 0.000)
Lu (0.500, 0.000, 0.000)
Sc (0.500, 0.500, 0.500)
Co (0.000, 0.000, 0.000)


Compound: LuScCoSn
Source: Alexandria via LeMat-Bulk
Functional: GGA-PBE
Structure: relaxed

Its space group is F-43m. As for the formation energy: -1.39 eV/f.u. As for the density: 8.09 g/cm³.

a = 4.869 Å, b = 4.869 Å, c = 4.869 Å
α = 60.00°, β = 60.00°, γ = 60.00°
Element x y z (fractional)
Lu (0.000, 0.000, 0.000)
Sc (0.500, 0.500, 0.500)
Co (0.250, 0.250, 0.250)
Sn (0.750, 0.750, 0.750)